A geometry-optimized MgH2NF structure. Source: Alexandria, functional PBE.

Its energy is -4.81 eV/atom. As for the crystal system: orthorhombic. The value obtained for the density of states at the Fermi level is 0.0 states/eV per cell.

The structure belongs to space group Cmcm (No. 63); the cell edges are 3.147, 9.166 and 6.148 Å and the angles 90.00°, 90.00° and 90.00°. Symmetry generates all atoms from Mg at (0.000, 0.055, 0.250), H at (0.000, 0.396, 0.066), N at (0.000, 0.500, 0.000) and F at (0.000, 0.263, 0.250).